TcNiPt3: single point on PBEsol structure, meta-GGA SCAN.

The structure in POSCAR format:
```
TcNiPt3
1.0
4.4421 0.0000 0.0000
0.0000 4.4421 0.0000
0.0000 0.0000 4.4421
Tc Ni Pt
1 1 3
Direct
0.0000 0.0000 0.0000
0.5000 0.5000 0.5000
0.0000 0.5000 0.5000
0.5000 0.0000 0.5000
0.5000 0.5000 0.0000
```

Results
The calculation puts the formation energy at 1236 meV per atom. For the calculated volume, the calculation gives 17.53 Å³/atom. Its space group is Pm-3m, No. 221. The value obtained for the theoretical density is 14.1 Mg/m³.


RbRe2TeN: single point on PBEsol structure, meta-GGA SCAN.

The structure in POSCAR format:
```
RbRe2TeN
1.0
4.0888 0.0000 0.0000
0.0000 4.0888 0.0000
0.0000 0.0000 5.6138
Rb Re Te N
1 2 1 1
Direct
0.0000 0.0000 0.0000
0.0000 0.5000 0.5000
0.5000 0.0000 0.5000
0.5000 0.5000 0.0000
0.5000 0.5000 0.5000
```

Results
Its formation energy from raw total energies is 6.72 eV/f.u. For the calculated volume, the calculation gives 18.77 Å³/atom. Its space group is P4/mmm, No. 123. The value obtained for the theoretical density is 10.6 Mg/m³.


Ba5Ca24: single point on PBEsol structure, meta-GGA SCAN.

The structure in POSCAR format:
```
Ba5Ca24
1.0
-6.8418 6.8418 6.8418
6.8418 -6.8418 6.8418
6.8418 6.8418 -6.8418
Ba Ca
5 24
Direct
0.0000 0.0000 0.0000
0.0000 0.0000 0.3681
0.0000 0.3681 0.0000
0.3681 0.0000 0.0000
0.6319 0.6319 0.6319
0.0000 0.3232 0.5965
0.0000 0.5965 0.3232
0.0000 0.6195 0.8076
0.0000 0.8076 0.6195
0.1881 0.3805 0.3805
0.1924 0.1924 0.8119
0.1924 0.8119 0.1924
0.2733 0.6768 0.6768
0.3232 0.0000 0.5965
0.3232 0.5965 0.0000
0.3805 0.1881 0.3805
0.3805 0.3805 0.1881
0.4035 0.4035 0.7267
0.4035 0.7267 0.4035
0.5965 0.0000 0.3232
0.5965 0.3232 0.0000
0.6195 0.0000 0.8076
0.6195 0.8076 0.0000
0.6768 0.2733 0.6768
0.6768 0.6768 0.2733
0.7267 0.4035 0.4035
0.8076 0.0000 0.6195
0.8076 0.6195 0.0000
0.8119 0.1924 0.1924
```

Results
The calculation puts the formation energy at 48 meV per atom. For the calculated volume, the calculation gives 44.18 Å³/atom. Its space group is I-43m, No. 217. The value obtained for the theoretical density is 2.1 Mg/m³.


NaGaAs2I: single point on PBEsol structure, meta-GGA SCAN.

The structure in POSCAR format:
```
NaGaAs2I
1.0
5.0437 0.0000 0.0000
0.0000 5.0437 0.0000
0.0000 0.0000 5.8168
Na Ga As I
1 1 2 1
Direct
0.0000 0.0000 0.0000
0.5000 0.5000 0.5000
0.0000 0.5000 0.0000
0.5000 0.0000 0.0000
0.0000 0.0000 0.5000
```

Results
Its formation energy from raw total energies is 3.75 eV/f.u. For the calculated volume, the calculation gives 29.59 Å³/atom. Its space group is P4/mmm, No. 123. The value obtained for the theoretical density is 4.1 Mg/m³.


CaIn2Pt: single point on PBEsol structure, meta-GGA SCAN.

The structure in POSCAR format:
```
CaIn2Pt
1.0
3.3627 0.0000 0.0000
0.0000 3.3627 0.0000
0.0000 0.0000 7.6548
Ca In Pt
1 2 1
Direct
0.0000 0.0000 0.0000
0.5000 0.5000 0.2977
0.5000 0.5000 0.7023
0.0000 0.0000 0.5000
```

Results
The calculation puts the formation energy at -529 meV per atom. For the calculated volume, the calculation gives 21.64 Å³/atom. Its space group is P4/mmm, No. 123. The value obtained for the theoretical density is 8.9 Mg/m³.


Sr2ZrRu: single point on PBEsol structure, meta-GGA SCAN.

The structure in POSCAR format:
```
Sr2ZrRu
1.0
3.3481 0.0000 0.0000
0.0000 5.0201 0.0000
0.0000 0.0000 5.8572
Sr Zr Ru
2 1 1
Direct
0.0000 0.0000 0.2365
0.0000 0.0000 0.7635
0.5000 0.5000 0.5000
0.5000 0.5000 0.0000
```

Results
The calculation puts the formation energy at 806 meV per atom. For the calculated volume, the calculation gives 24.61 Å³/atom. Its space group is Pmmm, No. 47. The value obtained for the theoretical density is 6.2 Mg/m³.


YBeOs2: single point on PBEsol structure, meta-GGA SCAN.

The structure in POSCAR format:
```
YBeOs2
1.0
2.7992 0.0000 0.0000
-1.3996 2.4242 0.0000
0.0000 0.0000 27.3168
Y Be Os
3 3 6
Direct
0.0000 0.0000 0.0000
0.3333 0.6667 0.6667
0.6667 0.3333 0.3333
0.0000 0.0000 0.2394
0.3333 0.6667 0.9061
0.6667 0.3333 0.5728
0.0000 0.0000 0.5057
0.0000 0.0000 0.7631
0.3333 0.6667 0.1723
0.3333 0.6667 0.4297
0.6667 0.3333 0.0964
0.6667 0.3333 0.8390
```

Results
The calculation puts the formation energy at 544 meV per atom. For the calculated volume, the calculation gives 15.45 Å³/atom. Its space group is R3m, No. 160. The value obtained for the theoretical density is 12.9 Mg/m³.


Ba4CaMn2MoO12: single point on PBEsol structure, meta-GGA SCAN.

The structure in POSCAR format:
```
Ba4CaMn2MoO12
1.0
2.9084 1.6792 9.6504
-2.9084 1.6792 9.6504
0.0000 -3.3583 9.6504
Ba Ca Mn Mo O
4 1 2 1 12
Direct
0.0000 0.0000 0.0000
0.1432 0.1432 0.1432
0.5718 0.5718 0.5718
0.7373 0.7373 0.7373
0.8633 0.8633 0.8633
0.3695 0.3695 0.3695
0.4564 0.4564 0.4564
0.2787 0.2787 0.2787
0.0325 0.4737 0.4737
0.0899 0.0899 0.5650
0.0899 0.5650 0.0899
0.1857 0.6413 0.6413
0.2612 0.2612 0.7032
0.2612 0.7032 0.2612
0.4737 0.0325 0.4737
0.4737 0.4737 0.0325
0.5650 0.0899 0.0899
0.6413 0.1857 0.6413
0.6413 0.6413 0.1857
0.7032 0.2612 0.2612
```

Results
Its formation energy from raw total energies is -55.98 eV/f.u. For the calculated volume, the calculation gives 14.14 Å³/atom. Its space group is R3m, No. 160. The value obtained for the theoretical density is 5.8 Mg/m³.


OsAu2Br: single point on PBEsol structure, meta-GGA SCAN.

The structure in POSCAR format:
```
OsAu2Br
1.0
2.8415 0.0000 0.0000
0.0000 4.5172 0.0000
0.0000 0.0000 12.5957
Os Au Br
2 4 2
Direct
0.0000 0.0000 0.0000
0.5000 0.5000 0.5000
0.0000 0.0000 0.4609
0.0000 0.5000 0.3167
0.5000 0.0000 0.8167
0.5000 0.5000 0.9609
0.0000 0.5000 0.6620
0.5000 0.0000 0.1620
```

Results
Its formation energy from raw total energies is 2.62 eV/f.u. For the calculated volume, the calculation gives 20.21 Å³/atom. Its space group is Imm2, No. 44. The value obtained for the theoretical density is 13.6 Mg/m³. The calculation puts the energy above the most stable polymorph in this dataset at 0.0 kJ per mole of atoms.


ZrAsBr: single point on PBEsol structure, meta-GGA SCAN.

The structure in POSCAR format:
```
ZrAsBr
1.0
6.5950 0.0000 0.0000
0.0000 6.5950 0.0000
0.0000 0.0000 6.5950
Zr As Br
4 4 4
Direct
0.0000 0.0000 0.0000
0.0000 0.5000 0.5000
0.5000 0.0000 0.5000
0.5000 0.5000 0.0000
0.2500 0.2500 0.7500
0.2500 0.7500 0.2500
0.7500 0.2500 0.2500
0.7500 0.7500 0.7500
0.0000 0.0000 0.5000
0.0000 0.5000 0.0000
0.5000 0.0000 0.0000
0.5000 0.5000 0.5000
```

Results
Its formation energy from raw total energies is -0.16 eV/f.u. For the calculated volume, the calculation gives 23.90 Å³/atom. Its space group is F-43m, No. 216. The value obtained for the theoretical density is 5.7 Mg/m³. The calculation puts the energy above the most stable polymorph in this dataset at 96.1 kJ per mole of atoms.


CdCuIN2: single point on PBEsol structure, meta-GGA SCAN.

The structure in POSCAR format:
```
CdCuIN2
1.0
4.1278 0.0000 0.0000
0.0000 4.1278 0.0000
0.0000 0.0000 6.4023
Cd Cu I N
1 1 1 2
Direct
0.0000 0.0000 0.0000
0.5000 0.5000 0.5000
0.0000 0.0000 0.5000
0.0000 0.5000 0.0000
0.5000 0.0000 0.0000
```

Results
Its formation energy from raw total energies is 8.17 eV/f.u. For the calculated volume, the calculation gives 21.82 Å³/atom. Its space group is P4/mmm, No. 123. The value obtained for the theoretical density is 5.0 Mg/m³.


InSiN3: single point on PBEsol structure, meta-GGA SCAN.

The structure in POSCAR format:
```
InSiN3
1.0
4.1884 0.0000 0.0000
0.0000 4.1884 0.0000
0.0000 0.0000 4.1884
In Si N
1 1 3
Direct
0.0000 0.0000 0.0000
0.5000 0.5000 0.5000
0.0000 0.0000 0.5000
0.0000 0.5000 0.0000
0.5000 0.0000 0.0000
```

Results
Its formation energy from raw total energies is 10.62 eV/f.u. For the calculated volume, the calculation gives 14.69 Å³/atom. Its space group is Pm-3m, No. 221. The value obtained for the theoretical density is 4.2 Mg/m³.


LaCe3: single point on PBEsol structure, meta-GGA SCAN.

The structure in POSCAR format:
```
LaCe3
1.0
4.6772 0.0000 0.0000
0.0000 4.6772 0.0000
0.0000 0.0000 9.3572
La Ce
2 6
Direct
0.0000 0.0000 0.0000
0.5000 0.5000 0.5000
0.0000 0.0000 0.5000
0.0000 0.5000 0.2500
0.0000 0.5000 0.7500
0.5000 0.0000 0.2500
0.5000 0.0000 0.7500
0.5000 0.5000 0.0000
```

Results
The calculation puts the formation energy at 87 meV per atom. For the calculated volume, the calculation gives 25.59 Å³/atom. Its space group is I4/mmm, No. 139. The value obtained for the theoretical density is 9.1 Mg/m³.